Entry 1:
Computed, not measured: an optimized crystal structure of Mn2PbBr6 at the PBE level of DFT.

CIF file:
```
data_Mn2PbBr6
_cell_length_a 4.0339
_cell_length_b 8.5915
_cell_length_c 9.1617
_cell_angle_alpha 103.82
_cell_angle_beta 102.72
_cell_angle_gamma 90.00
_symmetry_space_group_name_H-M 'P 1'
_symmetry_Int_Tables_number 1
loop_
_symmetry_equiv_pos_as_xyz
'x,y,z'
loop_
_atom_site_label
_atom_site_type_symbol
_atom_site_fract_x
_atom_site_fract_y
_atom_site_fract_z
Mn1 Mn 0.8281 0.6563 0.6563
Mn2 Mn 0.1719 0.3437 0.3437
Pb1 Pb 0.5000 0.0000 0.0000
Br1 Br 0.3247 0.8701 0.6494
Br2 Br 0.0163 0.2704 0.0327
Br3 Br 0.6735 0.5607 0.3471
Br4 Br 0.9837 0.7296 0.9673
Br5 Br 0.6753 0.1299 0.3506
Br6 Br 0.3265 0.4393 0.6529
```

Properties
- Space-group type: C2/m, No. 12
- Formation energy (no corrections): -7.31 eV per formula unit
- E: -4.377 eV per atom

---

Entry 2:
Computed, not measured: an optimized crystal structure of GaMoW at the PBE level of DFT.

CIF file:
```
data_GaMoW
_cell_length_a 3.2810
_cell_length_b 3.2810
_cell_length_c 4.9410
_cell_angle_alpha 109.39
_cell_angle_beta 109.39
_cell_angle_gamma 90.00
_symmetry_space_group_name_H-M 'P 1'
_symmetry_Int_Tables_number 1
loop_
_symmetry_equiv_pos_as_xyz
'x,y,z'
loop_
_atom_site_label
_atom_site_type_symbol
_atom_site_fract_x
_atom_site_fract_y
_atom_site_fract_z
Mo1 Mo 0.9550 0.9550 0.9099
W1 W 0.6115 0.6115 0.2229
Ga1 Ga 0.2836 0.2836 0.5672
```

Properties
- Space-group type: I4mm, No. 107
- Calculated formation energy: 0.1 eV/f.u.
- E: -8.912 eV per atom

---

What did the first record say?
Computed, not measured: an optimized crystal structure of Mn2PbBr6 at the PBE level of DFT.

CIF file:
```
data_Mn2PbBr6
_cell_length_a 4.0339
_cell_length_b 8.5915
_cell_length_c 9.1617
_cell_angle_alpha 103.82
_cell_angle_beta 102.72
_cell_angle_gamma 90.00
_symmetry_space_group_name_H-M 'P 1'
_symmetry_Int_Tables_number 1
loop_
_symmetry_equiv_pos_as_xyz
'x,y,z'
loop_
_atom_site_label
_atom_site_type_symbol
_atom_site_fract_x
_atom_site_fract_y
_atom_site_fract_z
Mn1 Mn 0.8281 0.6563 0.6563
Mn2 Mn 0.1719 0.3437 0.3437
Pb1 Pb 0.5000 0.0000 0.0000
Br1 Br 0.3247 0.8701 0.6494
Br2 Br 0.0163 0.2704 0.0327
Br3 Br 0.6735 0.5607 0.3471
Br4 Br 0.9837 0.7296 0.9673
Br5 Br 0.6753 0.1299 0.3506
Br6 Br 0.3265 0.4393 0.6529
```

Properties
- Space-group type: C2/m, No. 12
- Formation energy (no corrections): -7.31 eV per formula unit
- E: -4.377 eV per atom